HfAgAs2O8 | PBE-GGA | optimized geometry

Values from the calculation:
raw formation energy	-17.7	eV per formula unit
total energy	-6.623	eV per atom

abc: 5.5891 5.5891 6.6597
angles: 90.00 90.00 120.00
Space group P-3 (No. 147)
One atom of each set of equivalent atoms:
Hf: 0.0000 0.0000 0.0000 x1
Ag: 0.0000 0.0000 0.5000 x1
As: 0.3333 0.6667 0.2816 x2
O: 0.1645 0.3342 0.1908 x6
O: 0.3333 0.6667 0.5353 x2